No. 1
The following is a PBE calculation of Ni2Rh after structural relaxation, from Alexandria.

Cell lengths 2.6176, 12.4584, 2.6176 Å; angles 90.00, 60.00, 90.00 degrees
Site moments in Bohr magnetons follow the coordinates.
Sites, in units of the cell vectors:
Ni  0.0000  0.0081  0.0000  0.80
Ni  0.6667  0.1667  0.6667  0.74
Ni  0.3333  0.3252  0.3333  0.80
Ni  0.6667  0.6667  0.6667  0.87
Rh  0.0000  0.4956  0.0000  0.55
Rh  0.3333  0.8377  0.3333  0.55

Computed properties:
ΔE_f (eV per atom): 0.0643



No. 2
The following is a PBE calculation of NiRh after structural relaxation, from Alexandria.

Cell lengths 9.1342, 9.1342, 2.6027 Å; angles 90.00, 90.00, 90.00 degrees
Sites, in units of the cell vectors:
Ni  0.4112  0.6585  0.0000
Ni  0.5888  0.3415  0.0000
Ni  0.3415  0.4112  0.0000
Ni  0.6585  0.5888  0.0000
Ni  0.9112  0.1585  0.5000
Ni  0.0888  0.8415  0.5000
Ni  0.8415  0.9112  0.5000
Ni  0.1585  0.0888  0.5000
Rh  0.3909  0.1464  0.0000
Rh  0.6091  0.8536  0.0000
Rh  0.8536  0.3909  0.0000
Rh  0.1464  0.6091  0.0000
Rh  0.8909  0.6464  0.5000
Rh  0.1091  0.3536  0.5000
Rh  0.3536  0.8909  0.5000
Rh  0.6464  0.1091  0.5000

Computed properties:
ΔE_f (eV per atom): 0.3532